*A*
Na3ScS | PBE | optimized geometry

Unit cell a=5.946 b=5.946 c=5.946 alpha=90.00 beta=90.00 gamma=90.00
Site moments in Bohr magnetons follow the coordinates.
Positions (direct):
Sc 0.000 0.000 0.000  1.19
Na 0.000 0.500 0.000  0.04
Na 0.000 0.000 0.500  0.03
Na 0.500 0.000 0.000  0.04
S 0.500 0.500 0.500  -0.03

Values from the calculation:
* volume: 210.2 Å³/f.u.



*B*
Na3ScS | PBE | optimized geometry

Unit cell a=5.387 b=5.387 c=5.387 alpha=90.00 beta=90.00 gamma=90.00
Site moments in Bohr magnetons follow the coordinates.
Positions (direct):
Sc 0.500 0.500 0.500  0.95
Na 0.000 0.500 0.000  0.01
Na 0.000 0.000 0.500  0.02
Na 0.500 0.000 0.000  0.00
S 0.000 0.000 0.000  0.03

Values from the calculation:
* volume: 156.3 Å³/f.u.



Name the most stable of them. *B*.



*A*
Na2YScS | PBE | optimized geometry

Unit cell a=5.827 b=5.293 c=5.827 alpha=90.00 beta=90.00 gamma=90.00
Positions (direct):
Y 0.000 0.000 0.000
Sc 0.000 0.500 0.000
S 0.500 0.500 0.500
Na 0.000 0.000 0.500
Na 0.500 0.000 0.000

Values from the calculation:
* volume: 179.7 Å³/f.u.



*B*
Na2YScS | PBE | optimized geometry

Unit cell a=5.345 b=5.009 c=5.345 alpha=90.00 beta=90.00 gamma=90.00
Site moments in Bohr magnetons follow the coordinates.
Positions (direct):
Y 0.500 0.500 0.500  0.49
Sc 0.000 0.500 0.000  0.30
S 0.000 0.000 0.000  0.00
Na 0.000 0.000 0.500  0.01
Na 0.500 0.000 0.000  0.01

Values from the calculation:
* volume: 143.1 Å³/f.u.



Name the most stable of them. *B*.



*A*
NaSe3S | PBE | optimized geometry

Unit cell a=4.960 b=4.960 c=4.960 alpha=90.00 beta=90.00 gamma=90.00
Positions (direct):
Na 0.500 0.500 0.500
S 0.000 0.000 0.000
Se 0.000 0.500 0.000
Se 0.000 0.000 0.500
Se 0.500 0.000 0.000

Values from the calculation:
* volume: 122.0 Å³/f.u.



*B*
NaSe3S | PBE | optimized geometry

Unit cell a=5.132 b=5.132 c=5.132 alpha=90.00 beta=90.00 gamma=90.00
Site moments in Bohr magnetons follow the coordinates.
Positions (direct):
Na 0.000 0.000 0.000  0.00
S 0.500 0.500 0.500  0.82
Se 0.000 0.500 0.000  0.15
Se 0.000 0.000 0.500  0.12
Se 0.500 0.000 0.000  0.15

Values from the calculation:
* volume: 135.2 Å³/f.u.



Name the most stable of them. *A*.



*A*
Na2SeS3 | PBE | optimized geometry

Unit cell a=5.822 b=7.499 c=7.051 alpha=105.45 beta=114.38 gamma=90.00
Positions (direct):
Na 0.676 0.585 0.341
Na 0.666 0.085 0.341
Na 0.334 0.915 0.659
Na 0.324 0.415 0.659
Se 0.942 0.750 0.000
Se 0.058 0.250 0.000
S 0.433 0.250 0.000
S 0.567 0.750 0.000
S 0.140 0.072 0.286
S 0.854 0.428 0.714
S 0.146 0.572 0.286
S 0.860 0.928 0.714

Values from the calculation:
* volume: 134.1 Å³/f.u.



*B*
Na2SeS3 | PBE | optimized geometry

Unit cell a=5.595 b=7.181 c=9.217 alpha=117.55 beta=90.00 gamma=112.93
Positions (direct):
Na 0.588 0.694 0.406
Na 0.106 0.694 0.906
Na 0.894 0.306 0.094
Na 0.412 0.306 0.594
Se 0.813 0.000 0.250
Se 0.187 0.000 0.750
S 0.789 0.000 0.750
S 0.211 0.000 0.250
S 0.567 0.626 0.963
S 0.941 0.374 0.537
S 0.059 0.626 0.463
S 0.433 0.374 0.037

Values from the calculation:
* volume: 147.5 Å³/f.u.



Name the most stable of them. *B*.